# 1
VASP calculation (GGA-PBE) on crystalline CeEuTlRh at its relaxed geometry.

Cell and atoms, written as CIF:
```
data_CeEuTlRh
_space_group_name_H-M_alt 'P 1'
_space_group_IT_number 1
_cell_length_a 5.253
_cell_length_b 5.253
_cell_length_c 5.253
_cell_angle_alpha 60.00
_cell_angle_beta 60.00
_cell_angle_gamma 60.00
loop_
_space_group_symop_operation_xyz
'x,y,z'
loop_
_atom_site_label
_atom_site_fract_x
_atom_site_fract_y
_atom_site_fract_z
Ce1 0.000 0.000 0.000
Eu1 0.500 0.500 0.500
Tl1 0.250 0.250 0.250
Rh1 0.750 0.750 0.750
```

Calculated values
* total DFT energy (no corrections): -6.768 eV per atom

# 2
VASP calculation (GGA-PBE) on crystalline LaPmDyAg at its relaxed geometry.

Cell and atoms, written as CIF:
```
data_LaPmDyAg
_space_group_name_H-M_alt 'P 1'
_space_group_IT_number 1
_cell_length_a 5.479
_cell_length_b 5.479
_cell_length_c 5.479
_cell_angle_alpha 60.00
_cell_angle_beta 60.00
_cell_angle_gamma 60.00
loop_
_space_group_symop_operation_xyz
'x,y,z'
loop_
_atom_site_label
_atom_site_fract_x
_atom_site_fract_y
_atom_site_fract_z
La1 0.000 0.000 0.000
Pm1 0.750 0.750 0.750
Dy1 0.500 0.500 0.500
Ag1 0.250 0.250 0.250
```

Calculated values
* excess energy over the best structure of this formula in the dataset: 0.86 eV/f.u.
* total DFT energy (no corrections): -4.188 eV per atom

Summary of calculated formation energy in eV/atom
-0.287, 0.095
(order as listed above)